No. 1
A plane-wave DFT calculation with PBE was carried out for TlGaAsW2 after structural relaxation.

Calculated values
Density of states at the Fermi level   4.95 states/eV per cell
DFT formation energy   1726.1 meV/atom

Cell: 4.7837 4.7479 4.7837 Å, 90.00 90.00 90.00°
Site moments in Bohr magnetons follow the coordinates.
Fractional positions:
As  0.0000  0.5000  0.0000  -0.04
Tl  0.5000  0.5000  0.5000  -0.01
Ga  0.0000  0.0000  0.0000  -0.01
W  0.0000  0.0000  0.5000  0.39
W  0.5000  0.0000  0.0000  0.39

---

No. 2
A plane-wave DFT calculation with PBE was carried out for BeInTeI2 after structural relaxation.

Calculated values
Formation energy (no corrections)   3.240 eV/f.u.
Density of states at the Fermi level   3.73 states/eV per cell
Offset from the most stable computed form   0.642 eV/atom

Cell: 5.8253 5.8253 5.9962 Å, 90.00 90.00 90.00°
Fractional positions:
I  0.5000  0.0000  0.0000
I  0.0000  0.5000  0.0000
Be  0.5000  0.5000  0.5000
In  0.0000  0.0000  0.0000
Te  0.0000  0.0000  0.5000

---

No. 3
A plane-wave DFT calculation with PBE was carried out for SrLaEu4 after structural relaxation.

Calculated values
Density of states at the Fermi level   8.90 states/eV per cell
DFT formation energy   159.0 meV/atom

Cell: 7.2130 7.2130 7.2130 Å, 60.00 60.00 60.00°
Site moments in Bohr magnetons follow the coordinates.
Fractional positions:
Eu  0.1217  0.6261  0.6261  7.04
Eu  0.6261  0.6261  0.1217  7.04
Eu  0.6261  0.6261  0.6261  7.04
Eu  0.6261  0.1217  0.6261  7.04
Sr  0.2500  0.2500  0.2500  0.02
La  0.0000  0.0000  0.0000  0.19

---

Magnetization, respectively: 0.9 0.0 30.8 μB/f.u..